A plane-wave DFT calculation with PBE was carried out for crystalline LuThMg at its relaxed geometry.

Properties
Its crystal system is trigonal. The value obtained for the density of states at the Fermi level is 4.72 states/eV/f.u. The calculation puts the formation energy at 0.07 eV per atom. As for the energy above the most stable polymorph in this dataset: 0.067 eV per atom.

a = 3.4752 Å, b = 3.4752 Å, c = 8.3988 Å
α = 90.00°, β = 90.00°, γ = 120.00°
Space group P3m1 (No. 156)
Symmetry-distinct sites (fractional):
Lu 0.0000 0.0000 0.0000 x1
Th 0.6667 0.3333 0.3384 x1
Mg 0.3333 0.6667 0.6780 x1


A plane-wave DFT calculation with PBE was carried out for crystalline SrMgCu2Ag at its relaxed geometry.

Properties
Its crystal system is tetragonal. The value obtained for the density of states at the Fermi level is 2.20 states/eV/f.u. The calculation puts the formation energy at 0.24 eV per atom. As for the energy above the most stable polymorph in this dataset: 0.000 eV per atom.

a = 4.8886 Å, b = 4.8886 Å, c = 5.0628 Å
α = 90.00°, β = 90.00°, γ = 90.00°
Space group P4/mmm (No. 123)
Symmetry-distinct sites (fractional):
Sr 0.0000 0.0000 0.0000 x1
Mg 0.5000 0.5000 0.5000 x1
Cu 0.0000 0.5000 0.5000 x2
Ag 0.5000 0.5000 0.0000 x1


A plane-wave DFT calculation with PBE was carried out for crystalline Y2Te2P at its relaxed geometry.

Properties
Its crystal system is tetragonal. The value obtained for the density of states at the Fermi level is 2.84 states/eV/f.u. The calculation puts the uncorrected formation energy at -1024 meV per atom.

a = 7.9308 Å, b = 7.9308 Å, c = 4.2702 Å
α = 90.00°, β = 90.00°, γ = 90.00°
Space group P4/mbm (No. 127)
Symmetry-distinct sites (fractional):
Y 0.1658 0.3342 0.0000 x4
Te 0.1453 0.6453 0.5000 x4
P 0.0000 0.0000 0.0000 x2


| no. | calculated volume (A^3/atom) | ρ (Mg/m³) |
| --- | --- | --- |
| 1 | 29.28 | 8.153 |
| 2 | 24.20 | 4.761 |
| 3 | 26.86 | 5.737 |